Density functional theory data (PBE with a Hubbard U) for crystalline AlFe2F4 at its relaxed geometry.

abc: 9.166 9.166 9.166
angles: 157.51 157.51 32.02
Positions (direct):
Al 0.000 0.000 0.000
Fe 0.215 0.215 0.000
Fe 0.785 0.785 0.000
F 0.000 0.500 0.500
F 0.104 0.104 0.000
F 0.500 0.000 0.500
F 0.896 0.896 0.000

Volume ... 16.1 Å³/atom
Raw total energy ... -5.40 eV per atom
Density ... 3.17 Mg/m³